[1]
Below is a crystal of TiFeCuF2 relaxed with PBEsol, with properties calculated at the meta-GGA SCAN level.

Geometry as POSCAR:
```
TiFeCuF2
1.0
3.769 0.000 0.000
0.000 3.769 0.000
0.000 0.000 5.090
Ti Fe Cu F
1 1 1 2
direct
0.000 0.000 0.000
0.500 0.500 0.500
0.500 0.500 0.000
0.000 0.500 0.500
0.500 0.000 0.500
```

Summary:
Energy relative to the elements, uncorrected   -0.670 eV/atom
Final energy   -59.79 eV per cell
Volume   14.46 Å³/atom
Crystal system   tetragonal

[2]
Below is a crystal of LiSi2Hg relaxed with PBEsol, with properties calculated at the meta-GGA SCAN level.

Geometry as POSCAR:
```
LiSi2Hg
1.0
3.733 0.000 0.000
0.000 3.733 0.000
0.000 0.000 4.730
Li Si Hg
1 2 1
direct
0.000 0.000 0.000
0.000 0.500 0.500
0.500 0.000 0.500
0.500 0.500 0.000
```

Summary:
Energy relative to the elements, uncorrected   0.224 eV/atom
Final energy   -89.69 eV per cell
Volume   16.48 Å³/atom
Crystal system   tetragonal

[3]
Below is a crystal of CeEr3 relaxed with PBEsol, with properties calculated at the meta-GGA SCAN level.

Geometry as POSCAR:
```
CeEr3
1.0
-2.430 2.430 4.836
2.430 -2.430 4.836
2.430 2.430 -4.836
Ce Er
1 3
direct
0.000 0.000 0.000
0.250 0.750 0.500
0.500 0.500 0.000
0.750 0.250 0.500
```

Summary:
Final energy   -195.35 eV per cell
Volume   28.56 Å³/atom
Energy above the lowest structure with this stoichiometry   0.04 eV/f.u.
Energy relative to the elements   59 meV per atom
Crystal system   tetragonal

[4]
Below is a crystal of LaGeAsSe2 relaxed with PBEsol, with properties calculated at the meta-GGA SCAN level.

Geometry as POSCAR:
```
LaGeAsSe2
1.0
4.970 0.000 0.000
0.000 4.970 0.000
0.000 0.000 4.871
La Ge As Se
1 1 1 2
direct
0.000 0.000 0.000
0.500 0.500 0.500
0.500 0.500 0.000
0.000 0.500 0.500
0.500 0.000 0.500
```

Summary:
Energy relative to the elements, uncorrected   -0.628 eV/atom
Final energy   -125.68 eV per cell
Volume   24.06 Å³/atom
Crystal system   tetragonal

[5]
Below is a crystal of Cs4In2S5 relaxed with PBEsol, with properties calculated at the meta-GGA SCAN level.

Geometry as POSCAR:
```
Cs4In2S5
1.0
7.744 0.000 0.000
0.959 9.625 0.000
3.836 2.881 9.977
Cs In S
8 4 10
direct
0.007 0.290 0.412
0.044 0.684 0.047
0.266 0.973 0.161
0.381 0.321 0.594
0.619 0.679 0.406
0.734 0.027 0.839
0.956 0.316 0.953
0.993 0.710 0.588
0.378 0.910 0.668
0.467 0.497 0.159
0.533 0.503 0.841
0.622 0.090 0.332
0.219 0.018 0.846
0.245 0.607 0.316
0.295 0.011 0.457
0.314 0.645 0.731
0.333 0.349 0.062
0.667 0.651 0.938
0.686 0.355 0.269
0.705 0.989 0.543
0.755 0.393 0.684
0.781 0.982 0.154
```

Summary:
Energy relative to the elements, uncorrected   -1.226 eV/atom
Final energy   -559.29 eV per cell
Volume   33.81 Å³/atom
Crystal system   triclinic

[6]
Below is a crystal of RbZn3As relaxed with PBEsol, with properties calculated at the meta-GGA SCAN level.

Geometry as POSCAR:
```
RbZn3As
1.0
5.089 0.000 0.000
0.000 5.089 0.000
0.000 0.000 5.089
Rb Zn As
1 3 1
direct
0.000 0.000 0.000
0.000 0.500 0.500
0.500 0.000 0.500
0.500 0.500 0.000
0.500 0.500 0.500
```

Summary:
Final energy   -79.92 eV per cell
Volume   26.36 Å³/atom
Energy above the lowest structure with this stoichiometry   0.00 eV/f.u.
Energy relative to the elements   311 meV per atom
Crystal system   cubic

[7]
Below is a crystal of Li2FeSi relaxed with PBEsol, with properties calculated at the meta-GGA SCAN level.

Geometry as POSCAR:
```
Li2FeSi
1.0
-1.667 1.667 4.310
1.667 -1.667 4.310
1.667 1.667 -4.310
Li Fe Si
2 1 1
direct
0.250 0.750 0.500
0.750 0.250 0.500
0.000 0.000 0.000
0.500 0.500 0.000
```

Summary:
Energy relative to the elements, uncorrected   -0.006 eV/atom
Final energy   -32.95 eV per cell
Volume   11.98 Å³/atom
Crystal system   tetragonal

[8]
Below is a crystal of AlVFe2 relaxed with PBEsol, with properties calculated at the meta-GGA SCAN level.

Geometry as POSCAR:
```
AlVFe2
1.0
0.000 2.882 2.882
2.882 0.000 2.882
2.882 2.882 0.000
Al V Fe
1 1 2
direct
0.000 0.000 0.000
0.250 0.250 0.250
0.500 0.500 0.500
0.750 0.750 0.750
```

Summary:
Final energy   -62.29 eV per cell
Volume   11.97 Å³/atom
Energy relative to the elements   -198 meV per atom
Crystal system   cubic

[9]
Below is a crystal of LaTlAu relaxed with PBEsol, with properties calculated at the meta-GGA SCAN level.

Geometry as POSCAR:
```
LaTlAu
1.0
4.899 0.000 0.000
-2.449 4.242 0.000
0.000 0.000 3.595
La Tl Au
1 1 1
direct
0.000 0.000 0.000
0.667 0.333 0.500
0.333 0.667 0.500
```

Summary:
Final energy   -186.99 eV per cell
Volume   24.91 Å³/atom
Energy relative to the elements   -791 meV per atom
Crystal system   hexagonal

[10]
Below is a crystal of BaLi2Au2 relaxed with PBEsol, with properties calculated at the meta-GGA SCAN level.

Geometry as POSCAR:
```
BaLi2Au2
1.0
-2.163 2.163 6.074
2.163 -2.163 6.074
2.163 2.163 -6.074
Ba Li Au
1 2 2
direct
0.000 0.000 0.000
0.250 0.750 0.500
0.750 0.250 0.500
0.383 0.383 0.000
0.617 0.617 0.000
```

Summary:
Final energy   -186.14 eV per cell
Volume   22.73 Å³/atom
Energy relative to the elements   -699 meV per atom
Crystal system   tetragonal

[11]
Below is a crystal of Y5Ag relaxed with PBEsol, with properties calculated at the meta-GGA SCAN level.

Geometry as POSCAR:
```
Y5Ag
1.0
3.509 0.000 0.000
0.000 3.509 0.000
0.000 0.000 13.736
Y Ag
5 1
direct
0.000 0.000 0.000
0.000 0.000 0.365
0.000 0.000 0.635
0.500 0.500 0.180
0.500 0.500 0.820
0.500 0.500 0.500
```

Summary:
Final energy   -171.12 eV per cell
Volume   28.19 Å³/atom
Energy above the lowest structure with this stoichiometry   0.01 eV/f.u.
Energy relative to the elements   -90 meV per atom
Crystal system   tetragonal

[12]
Below is a crystal of BeFe2Cl relaxed with PBEsol, with properties calculated at the meta-GGA SCAN level.

Geometry as POSCAR:
```
BeFe2Cl
1.0
-1.364 2.189 3.934
1.364 -2.189 3.934
1.364 2.189 -3.934
Be Fe Cl
1 2 1
direct
0.000 0.000 0.000
0.246 0.746 0.500
0.754 0.254 0.500
0.500 0.500 0.000
```

Summary:
Energy relative to the elements, uncorrected   0.501 eV/atom
Final energy   -46.58 eV per cell
Volume   11.75 Å³/atom
Energy above the lowest structure with this stoichiometry   2.02 eV/f.u.
Crystal system   orthorhombic

Number 1: M_tot 5.9 μB per formula unit. Number 2: M_tot 0.0 μB per formula unit. Number 3: M_tot 1.5 μB per formula unit. Number 4: M_tot 0.0 μB per formula unit. Number 5: M_tot 0.1 μB per formula unit. Number 6: M_tot 0.0 μB per formula unit. Number 7: M_tot 2.4 μB per formula unit. Number 8: M_tot 3.3 μB per formula unit. Number 9: M_tot 0.0 μB per formula unit. Number 10: M_tot 0.0 μB per formula unit. Number 11: M_tot 1.1 μB per formula unit. Number 12: M_tot 5.4 μB per formula unit.